Run P
A plane-wave DFT calculation with PBE-GGA was carried out for a relaxed structure of TlZnTeF.

## Properties
Crystal system ... orthorhombic
Volume ... 21.347 A^3/atom

a b c (Å): 5.894 5.907 9.810
angles (deg): 90.00 90.00 90.00
Space group Cmme (No. 67)
Inequivalent atoms, fractional coordinates:
1 Tl 0.250 0.000 0.000 (multiplicity 4)
2 Zn 0.000 0.250 0.393 (multiplicity 4)
3 Te 0.000 0.250 0.741 (multiplicity 4)
4 F 0.250 0.000 0.500 (multiplicity 4)


Run Q
A plane-wave DFT calculation with PBE-GGA was carried out for a relaxed structure of TlZnTeF.

## Properties
Crystal system ... trigonal
Volume ... 23.024 A^3/atom

a b c (Å): 4.2427 4.2427 35.4464
angles (deg): 90.00 90.00 120.00
Space group R-3m (No. 166, hexagonal axes)
Inequivalent atoms, fractional coordinates:
1 Tl 0.0000 0.0000 0.2015 (multiplicity 6)
2 Zn 0.0000 0.0000 0.3716 (multiplicity 6)
3 Te 0.0000 0.0000 0.0751 (multiplicity 6)
4 F 0.0000 0.0000 0.3174 (multiplicity 6)


run Q has the most favorable energy; the next structure is 366 meV/atom above.